(1)
A plane-wave DFT calculation with GGA-PBE was carried out for an optimized crystal structure of Ce2Th2C3.

Lattice parameters (Å, degrees): 6.4872 6.4872 6.4074 101.17 101.17 33.10
Closest atoms and distances in Å follow each position.
Element x y z (fractional)
Ce (0.1338, 0.1338, 0.3627)  4 C 2.48-2.67
Ce (0.8662, 0.8662, 0.6373)  4 C 2.48-2.67
Th (0.3763, 0.3763, 0.1256)  5 C 2.53-2.71
Th (0.6237, 0.6237, 0.8744)  5 C 2.53-2.71
C (0.0000, 0.0000, 0.0000)  2 Ce 2.57, 4 Th 2.63
C (0.2586, 0.2586, 0.7541)  3 Ce 2.48-2.67, 3 Th 2.53-2.71
C (0.7414, 0.7414, 0.2459)  3 Ce 2.48-2.67, 3 Th 2.53-2.71

Distance to the lowest polymorph of the same formula = 0.0 kJ/mol of atoms
Spin magnetization = 1.50 μB per cell
Formation enthalpy at 0 K = -20 kJ per mole of atoms

=====

(2)
A plane-wave DFT calculation with GGA-PBE was carried out for an optimized crystal structure of Ce2ThC.

Lattice parameters (Å, degrees): 9.9897 9.9897 9.9897 21.29 21.29 21.29
Closest atoms and distances in Å follow each position.
Element x y z (fractional)
Ce (0.0693, 0.0693, 0.0693)  1 C 2.03
Ce (0.9307, 0.9307, 0.9307)  1 C 2.03
Th (0.5000, 0.5000, 0.5000)  6 Ce 3.56, 6 Th 3.69
C (0.0000, 0.0000, 0.0000)  2 Ce 2.03

Distance to the lowest polymorph of the same formula = 85.3 kJ/mol of atoms
Spin magnetization = 0.00 μB per cell
Formation enthalpy at 0 K = 79 kJ per mole of atoms

=====

(3)
A plane-wave DFT calculation with GGA-PBE was carried out for an optimized crystal structure of CeTh4C4.

Lattice parameters (Å, degrees): 7.1374 7.1374 7.1374 130.77 130.77 72.18
Closest atoms and distances in Å follow each position.
Element x y z (fractional)
Ce (0.0000, 0.0000, 0.0000)  4 C 2.51
Th (0.0000, 0.5000, 0.5000)  4 C 2.55
Th (0.2717, 0.2717, 0.0000)  4 C 2.46-2.66
Th (0.5000, 0.0000, 0.5000)  4 C 2.55
Th (0.7283, 0.7283, 0.0000)  4 C 2.46-2.66
C (0.1197, 0.6312, 0.0000)  4 Th 2.46-2.66, 1 Ce 2.51
C (0.3688, 0.3688, 0.4885)  4 Th 2.46-2.66, 1 Ce 2.51
C (0.6312, 0.1197, 0.0000)  4 Th 2.46-2.66, 1 Ce 2.51
C (0.8803, 0.8803, 0.5115)  4 Th 2.46-2.66, 1 Ce 2.51

Distance to the lowest polymorph of the same formula = 43.8 kJ/mol of atoms
Spin magnetization = 3.36 μB per cell
Formation enthalpy at 0 K = 20 kJ per mole of atoms

=====

(4)
A plane-wave DFT calculation with GGA-PBE was carried out for an optimized crystal structure of CeThC2.

Lattice parameters (Å, degrees): 6.5729 6.5729 6.5729 32.18 32.18 32.18
Closest atoms and distances in Å follow each position.
Element x y z (fractional)
Ce (0.0000, 0.0000, 0.0000)  6 C 2.53-2.66
Th (0.1664, 0.1664, 0.1664)  6 C 2.57-2.71
C (0.4207, 0.4207, 0.4207)  3 Th 2.57, 3 Ce 2.66
C (0.5913, 0.5913, 0.5913)  3 Ce 2.53, 3 Th 2.71

Distance to the lowest polymorph of the same formula = 12.0 kJ/mol of atoms
Spin magnetization = 0.00 μB per cell
Formation enthalpy at 0 K = -3 kJ per mole of atoms

=====

(5)
A plane-wave DFT calculation with GGA-PBE was carried out for an optimized crystal structure of Ce3Th2C4.

Lattice parameters (Å, degrees): 3.6991 3.6991 15.6071 90.03 90.03 60.00
Closest atoms and distances in Å follow each position.
Element x y z (fractional)
Ce (0.0000, 0.0000, 0.0000)  6 C 2.64
Ce (0.3340, 0.3340, 0.3854)  3 C 2.46
Ce (0.6660, 0.6660, 0.6146)  3 C 2.46
Th (0.3330, 0.3330, 0.8061)  6 C 2.60-2.77
Th (0.6670, 0.6670, 0.1939)  6 C 2.60-2.77
C (0.0006, 0.0006, 0.3073)  3 Ce 2.46
C (0.3336, 0.3336, 0.0995)  3 Th 2.60, 3 Ce 2.64
C (0.6664, 0.6664, 0.9005)  3 Th 2.60, 3 Ce 2.64
C (0.9994, 0.9994, 0.6927)  3 Ce 2.46

Spin magnetization = 1.55 μB per cell
Formation enthalpy at 0 K = -18 kJ per mole of atoms

=====

(6)
A plane-wave DFT calculation with GGA-PBE was carried out for an optimized crystal structure of CeThC.

Lattice parameters (Å, degrees): 6.5527 6.5527 6.5527 151.54 151.54 40.68
Closest atoms and distances in Å follow each position.
Element x y z (fractional)
Ce (0.0000, 0.0000, 0.0000)  4 C 2.73, 1 Th 2.87
Th (0.2339, 0.2339, 0.0000)  4 C 2.66, 1 Ce 2.87
C (0.6218, 0.6218, 0.0000)  4 Th 2.66, 4 Ce 2.73

Distance to the lowest polymorph of the same formula = 36.2 kJ/mol of atoms
Spin magnetization = 0.00 μB per cell
Formation enthalpy at 0 K = 21 kJ per mole of atoms

=====

(7)
A plane-wave DFT calculation with GGA-PBE was carried out for an optimized crystal structure of CeThC.

Lattice parameters (Å, degrees): 3.6038 3.6038 6.4013 90.00 90.00 120.00
Closest atoms and distances in Å follow each position.
Element x y z (fractional)
Ce (0.0000, 0.0000, 0.0000)  3 C 2.52
Th (0.3333, 0.6667, 0.4512)  3 C 2.55
C (0.6667, 0.3333, 0.2221)  3 Ce 2.52, 3 Th 2.55

Distance to the lowest polymorph of the same formula = 0.0 kJ/mol of atoms
Spin magnetization = 1.09 μB per cell
Formation enthalpy at 0 K = -15 kJ per mole of atoms

=====

(8)
A plane-wave DFT calculation with GGA-PBE was carried out for an optimized crystal structure of Ce2ThC.

Lattice parameters (Å, degrees): 3.2604 3.2604 8.3511 90.00 90.00 90.00
Closest atoms and distances in Å follow each position.
Element x y z (fractional)
Ce (0.0000, 0.0000, 0.1666)  4 C 2.69, 1 Ce 2.78
Ce (0.0000, 0.0000, 0.8334)  4 C 2.69, 1 Ce 2.78
Th (0.5000, 0.5000, 0.5000)  4 Th 3.26, 8 Ce 3.61
C (0.5000, 0.5000, 0.0000)  8 Ce 2.69

Distance to the lowest polymorph of the same formula = 19.0 kJ/mol of atoms
Spin magnetization = 0.00 μB per cell
Formation enthalpy at 0 K = 13 kJ per mole of atoms

=====

(9)
A plane-wave DFT calculation with GGA-PBE was carried out for an optimized crystal structure of CeThTlC.

Lattice parameters (Å, degrees): 8.7921 8.7921 8.7921 23.89 23.89 23.89
Closest atoms and distances in Å follow each position.
Element x y z (fractional)
Ce (0.0000, 0.0000, 0.0000)  3 C 2.53
Th (0.2212, 0.2212, 0.2212)  3 C 2.57
Tl (0.7756, 0.7756, 0.7756)  3 Ce 3.49, 3 Th 3.56, 6 Tl 3.64
C (0.6120, 0.6120, 0.6120)  3 Ce 2.53, 3 Th 2.57

Spin magnetization = 0.23 μB per cell
Formation enthalpy at 0 K = -27 kJ per mole of atoms

=====

(10)
A plane-wave DFT calculation with GGA-PBE was carried out for an optimized crystal structure of CeTh2TlC.

Lattice parameters (Å, degrees): 5.0856 5.0856 5.0191 90.00 90.00 90.00
Closest atoms and distances in Å follow each position.
Element x y z (fractional)
Ce (0.0000, 0.0000, 0.0000)  2 C 2.51
Th (0.0000, 0.5000, 0.5000)  2 C 2.54
Th (0.5000, 0.0000, 0.5000)  2 C 2.54
Tl (0.5000, 0.5000, 0.0000)  8 Th 3.57, 4 Ce 3.60
C (0.0000, 0.0000, 0.5000)  2 Ce 2.51, 4 Th 2.54

Spin magnetization = 0.67 μB per cell
Formation enthalpy at 0 K = -25 kJ per mole of atoms